DFT (PBE) results for Li7GaCu2 after structural relaxation.

POSCAR file:
```
Li7GaCu2
1.0
3.691 -6.149 0.000
3.691 6.149 0.000
0.000 0.000 4.476
Li Ga Cu
7 1 2
direct
0.000 0.000 0.000
0.204 0.440 0.000
0.268 0.732 0.500
0.440 0.204 0.000
0.560 0.796 0.000
0.732 0.268 0.500
0.796 0.560 0.000
0.500 0.500 0.500
0.199 0.801 0.000
0.801 0.199 0.000
```

Computed properties:
M_tot, μB per cell: 0.0
Space-group type: Cmmm, No. 65
Energy of formation from the pure elements, kJ per mole of atoms: 17

***

DFT (PBE) results for DyPaW after structural relaxation.

POSCAR file:
```
DyPaW
1.0
0.000 4.604 5.382
2.965 0.000 5.382
2.965 4.604 0.000
Dy Pa W
2 2 2
direct
0.174 0.826 0.174
0.826 0.174 0.826
0.327 0.327 0.673
0.673 0.673 0.327
0.250 0.250 0.250
0.750 0.750 0.750
```

Computed properties:
M_tot, μB per cell: 0.0
Space-group type: Fmmm, No. 69
Energy of formation from the pure elements, kJ per mole of atoms: 26

***

DFT (PBE) results for Sr12Ga3N5 after structural relaxation.

POSCAR file:
```
Sr12Ga3N5
1.0
-8.480 8.480 8.480
8.480 -8.480 8.480
8.480 8.480 -8.480
Sr Ga N
48 12 20
direct
0.014 0.197 0.114
0.014 0.317 0.899
0.083 0.697 0.683
0.083 0.886 0.399
0.101 0.614 0.417
0.101 0.986 0.683
0.114 0.014 0.197
0.114 0.601 0.917
0.183 0.197 0.583
0.183 0.486 0.601
0.197 0.114 0.014
0.197 0.583 0.183
0.303 0.317 0.917
0.303 0.486 0.386
0.317 0.899 0.014
0.317 0.917 0.303
0.386 0.303 0.486
0.386 0.583 0.899
0.399 0.083 0.886
0.399 0.817 0.514
0.417 0.101 0.614
0.417 0.817 0.803
0.486 0.386 0.303
0.486 0.601 0.183
0.514 0.399 0.817
0.514 0.614 0.697
0.583 0.183 0.197
0.583 0.899 0.386
0.601 0.183 0.486
0.601 0.917 0.114
0.614 0.417 0.101
0.614 0.697 0.514
0.683 0.083 0.697
0.683 0.101 0.986
0.697 0.514 0.614
0.697 0.683 0.083
0.803 0.417 0.817
0.803 0.886 0.986
0.817 0.514 0.399
0.817 0.803 0.417
0.886 0.399 0.083
0.886 0.986 0.803
0.899 0.014 0.317
0.899 0.386 0.583
0.917 0.114 0.601
0.917 0.303 0.317
0.986 0.683 0.101
0.986 0.803 0.886
0.125 0.250 0.375
0.125 0.375 0.750
0.250 0.375 0.125
0.250 0.875 0.625
0.375 0.125 0.250
0.375 0.750 0.125
0.625 0.250 0.875
0.625 0.875 0.750
0.750 0.125 0.375
0.750 0.625 0.875
0.875 0.625 0.250
0.875 0.750 0.625
0.000 0.000 0.000
0.000 0.000 0.500
0.000 0.500 0.000
0.000 0.500 0.500
0.125 0.750 0.875
0.125 0.875 0.250
0.250 0.125 0.875
0.250 0.625 0.375
0.375 0.250 0.625
0.375 0.625 0.750
0.500 0.000 0.000
0.500 0.000 0.500
0.500 0.500 0.000
0.500 0.500 0.500
0.625 0.375 0.250
0.625 0.750 0.375
0.750 0.375 0.625
0.750 0.875 0.125
0.875 0.125 0.750
0.875 0.250 0.125
```

Computed properties:
M_tot, μB per cell: 14.1
Space-group type: Ia-3d, No. 230
E_form (uncorrected), eV/atom: -0.34

***

DFT (PBE) results for TbSmHo6Tm2 after structural relaxation.

POSCAR file:
```
TbSmHo6Tm2
1.0
4.523 -7.455 0.000
4.523 7.455 0.000
-1.127 0.000 9.389
Tb Sm Ho Tm
2 2 12 4
direct
0.091 0.909 0.750
0.909 0.091 0.250
0.473 0.527 0.250
0.527 0.473 0.750
0.009 0.792 0.382
0.066 0.519 0.182
0.208 0.991 0.118
0.252 0.622 0.556
0.378 0.748 0.944
0.481 0.934 0.318
0.519 0.066 0.682
0.622 0.252 0.056
0.748 0.378 0.444
0.792 0.009 0.882
0.934 0.481 0.818
0.991 0.208 0.618
0.197 0.302 0.953
0.302 0.197 0.453
0.698 0.803 0.547
0.803 0.698 0.047
```

Computed properties:
M_tot, μB per cell: 0.0
Space-group type: C2/c, No. 15
Energy of formation from the pure elements, kJ per mole of atoms: 12

***

DFT (PBE) results for AcLaEu after structural relaxation.

POSCAR file:
```
AcLaEu
1.0
-1.952 1.952 8.137
1.952 -1.952 8.137
1.952 1.952 -8.137
Ac La Eu
1 1 1
direct
0.000 0.000 0.000
0.341 0.341 0.000
0.675 0.675 0.000
```

Computed properties:
M_tot, μB per cell: 7.5
Space-group type: I4mm, No. 107
ΔE to the lowest computed polymorph, meV/atom: 0
Energy of formation from the pure elements, kJ per mole of atoms: 1

***

DFT (PBE) results for PuTlSeS after structural relaxation.

POSCAR file:
```
PuTlSeS
1.0
2.010 1.161 8.020
-2.010 1.161 8.020
0.000 -2.321 8.020
Pu Tl Se S
1 1 1 1
direct
0.000 0.000 0.000
0.166 0.166 0.166
0.591 0.591 0.591
0.730 0.730 0.730
```

Computed properties:
M_tot, μB per cell: 5.0
Space-group type: R3m, No. 160
E_form (uncorrected), eV/atom: -1.04

***

DFT (PBE) results for FeCu2Pt6 after structural relaxation.

POSCAR file:
```
FeCu2Pt6
1.0
6.981 -3.654 0.000
6.981 3.654 0.000
-0.529 0.000 2.684
Fe Cu Pt
1 2 6
direct
0.000 0.000 0.000
0.333 0.333 0.334
0.667 0.667 0.666
0.025 0.643 0.835
0.306 0.694 0.500
0.357 0.975 0.165
0.643 0.025 0.835
0.694 0.306 0.500
0.975 0.357 0.165
```

Computed properties:
M_tot, μB per cell: 4.4
Space-group type: C2/m, No. 12
ΔE to the lowest computed polymorph, meV/atom: 129
Energy of formation from the pure elements, kJ per mole of atoms: -4

***

DFT (PBE) results for BaLiZn after structural relaxation.

POSCAR file:
```
BaLiZn
1.0
4.970 0.000 0.000
-2.485 4.304 0.000
0.000 0.000 4.426
Ba Li Zn
1 1 1
direct
0.000 0.000 0.000
0.667 0.333 0.500
0.333 0.667 0.500
```

Computed properties:
M_tot, μB per cell: 0.0
Space-group type: P-6m2, No. 187
ΔE to the lowest computed polymorph, meV/atom: 20
Energy of formation from the pure elements, kJ per mole of atoms: -7

***

DFT (PBE) results for MgSbSI2 after structural relaxation.

POSCAR file:
```
MgSbSI2
1.0
5.667 0.000 0.000
0.000 5.667 0.000
0.000 0.000 5.249
Mg Sb S I
1 1 1 2
direct
0.000 0.000 0.000
0.500 0.500 0.000
0.500 0.500 0.500
0.000 0.500 0.500
0.500 0.000 0.500
```

Computed properties:
M_tot, μB per cell: 0.3
Space-group type: P4/mmm, No. 123
E_form (uncorrected), eV/atom: 0.37
ΔE to the lowest computed polymorph, meV/atom: 0

***

DFT (PBE) results for OsBrCl2 after structural relaxation.

POSCAR file:
```
OsBrCl2
1.0
1.795 1.036 9.837
-1.795 1.036 9.837
0.000 -2.072 9.837
Os Br Cl
1 1 2
direct
0.000 0.000 0.000
0.500 0.500 0.500
0.374 0.374 0.374
0.626 0.626 0.626
```

Computed properties:
M_tot, μB per cell: 0.7
Space-group type: R-3m, No. 166
E_form (uncorrected), eV/atom: 0.29
ΔE to the lowest computed polymorph, meV/atom: 381

***

DFT (PBE) results for Ba3BW after structural relaxation.

POSCAR file:
```
Ba3BW
1.0
5.832 0.000 0.000
0.000 5.832 0.000
0.000 0.000 5.832
Ba B W
3 1 1
direct
0.000 0.000 0.500
0.000 0.500 0.000
0.500 0.000 0.000
0.000 0.000 0.000
0.500 0.500 0.500
```

Computed properties:
M_tot, μB per cell: 5.0
Space-group type: Pm-3m, No. 221
ΔE to the lowest computed polymorph, meV/atom: 0
Energy of formation from the pure elements, kJ per mole of atoms: 135

***

DFT (PBE) results for Li4Tl2Ag3Hg2 after structural relaxation.

POSCAR file:
```
Li4Tl2Ag3Hg2
1.0
4.648 0.000 0.000
-2.324 4.025 0.000
0.000 0.000 11.591
Li Tl Ag Hg
4 2 3 2
direct
0.333 0.667 0.331
0.333 0.667 0.842
0.667 0.333 0.158
0.667 0.333 0.669
0.333 0.667 0.582
0.667 0.333 0.418
0.000 0.000 0.000
0.000 0.000 0.254
0.000 0.000 0.746
0.333 0.667 0.101
0.667 0.333 0.899
```

Computed properties:
M_tot, μB per cell: 0.0
Space-group type: P-3m1, No. 164
Energy of formation from the pure elements, kJ per mole of atoms: -15